Computed, not measured: a relaxed structure of CdSiNO at the PBE level of DFT.

```
8
Lattice="4.037 0.000 0.000 0.000 4.037 0.000 0.000 0.000 6.523" Properties=species:S:1:pos:R:3 pbc="T T T"
Cd 1.009 3.028 0.000
Cd 3.028 1.009 0.000
Si 1.009 1.009 2.780
Si 3.028 3.028 3.743
N 1.009 1.009 1.070
N 3.028 3.028 5.453
O 1.009 3.028 3.262
O 3.028 1.009 3.262
```

Summary:
Space group   P4/nmm, No. 129
Polymorph energy (0 for the lowest one)   0.790 eV/atom